No. 1
BaAgPbAu2 | PBE-GGA | relaxed

Cell: 5.324 5.342 5.324 Å, 90.00 90.00 90.00°
Fractional coordinates of all 5 atoms:
Au 0.500 0.000 0.000
Au 0.000 0.000 0.500
Pb 0.000 0.500 0.000
Ag 0.000 0.000 0.000
Ba 0.500 0.500 0.500

E_form	-0.109	eV per atom
space group	No. 123


No. 2
U2CO | PBE-GGA | relaxed

Cell: 3.029 3.029 6.102 Å, 90.00 90.00 90.00°
Fractional coordinates of all 4 atoms:
C 0.500 0.500 0.500
U 0.000 0.000 0.737
U 0.000 0.000 0.263
O 0.500 0.500 0.000

ΔE to the lowest computed polymorph	62.8	kJ per mole of atoms
space group	No. 123


No. 3
RbGa4Sn3O12 | PBE-GGA | relaxed

Cell: 7.060 7.060 7.060 Å, 107.97 107.97 107.97°
Fractional coordinates of all 20 atoms:
Sn 0.557 0.443 0.000
Sn 0.000 0.557 0.443
Sn 0.443 0.000 0.557
O 0.921 0.227 0.346
O 0.654 0.773 0.079
O 0.773 0.079 0.654
O 0.660 0.500 0.340
O 0.346 0.921 0.227
O 0.500 0.340 0.660
O 0.500 0.100 0.900
O 0.227 0.346 0.921
O 0.900 0.500 0.100
O 0.340 0.660 0.500
O 0.079 0.654 0.773
O 0.100 0.900 0.500
Ga 0.500 0.500 0.500
Ga 0.061 0.500 0.939
Ga 0.500 0.939 0.061
Ga 0.939 0.061 0.500
Rb 0.000 0.000 0.000

raw total energy	-5.797	eV/atom
space group	No. 155


No. 4
LaPmSmMg | PBE-GGA | relaxed

Cell: 3.772 3.772 9.049 Å, 90.00 90.00 90.00°
Fractional coordinates of all 4 atoms:
Mg 0.000 0.000 0.570
Pm 0.500 0.500 0.793
Sm 0.500 0.500 0.350
La 0.000 0.000 0.072

E_form	-0.037	eV per atom
ΔE to the lowest computed polymorph	0.0	kJ per mole of atoms
space group	No. 99


No. 5
Zr2CrIrC | PBE-GGA | relaxed

Cell: 5.260 3.791 5.260 Å, 90.00 90.00 90.00°
Fractional coordinates of all 5 atoms:
C 0.000 0.500 0.000
Zr 0.500 0.000 0.000
Zr 0.000 0.000 0.500
Ir 0.000 0.000 0.000
Cr 0.500 0.500 0.500

E_form	0.822	eV per atom
space group	No. 123


No. 6
Cs4ZnCl6 | PBE-GGA | relaxed

Cell: 8.761 9.641 14.519 Å, 78.30 72.44 62.98°
Fractional coordinates of all 22 atoms:
Cs 0.210 0.783 0.313
Cs 0.052 0.461 0.157
Cs 0.680 0.146 0.160
Cs 0.013 0.646 0.660
Cs 0.512 0.780 0.978
Cs 0.730 0.280 0.478
Cs 0.694 0.283 0.813
Cs 0.330 0.961 0.657
Cl 0.971 0.156 0.260
Cl 0.077 0.087 0.913
Cl 0.929 0.026 0.643
Cl 0.976 0.513 0.924
Cl 0.342 0.285 0.729
Cl 0.924 0.587 0.413
Cl 0.614 0.656 0.760
Cl 0.388 0.181 0.987
Cl 0.401 0.526 0.143
Cl 0.644 0.785 0.229
Cl 0.587 0.013 0.424
Cl 0.443 0.681 0.487
Zn 0.652 0.768 0.390
Zn 0.190 0.268 0.890

raw total energy	-3.188	eV/atom
space group	No. 9